Entry 1:
Entry from Alexandria: a relaxed LaPmPrTh crystal (PBE-GGA).

Geometry as extended XYZ:
```
4
Lattice="3.631 0.000 0.000 0.000 3.631 0.000 0.000 0.000 10.550" Properties=species:S:1:pos:R:3 pbc="T T T"
Pr 0.000 0.000 0.706
Pm 1.815 1.815 8.508
La 1.815 1.815 3.568
Th 0.000 0.000 6.047
```

Total magnetization, μB per formula unit: 0.0
Space group: P4mm, No. 99
Final energy, eV for the cell shown: -21.77
Relative energy among the computed polymorphs, kJ/mol of formula units: 0

***

Entry 2:
Entry from Alexandria: a relaxed ZnSO3 crystal (PBE-GGA).

Geometry as extended XYZ:
```
5
Lattice="3.779 0.000 0.000 0.000 3.779 0.000 0.000 0.000 3.779" Properties=species:S:1:pos:R:3 pbc="T T T"
Zn 0.000 0.000 0.000
O 1.889 0.000 0.000
O 0.000 0.000 1.889
O 0.000 1.889 0.000
S 1.889 1.889 1.889
```

Total magnetization, μB per formula unit: 0.0
Space group: Pm-3m, No. 221
Formation energy (no corrections), eV per formula unit: 2.8
Final energy, eV for the cell shown: -17.52

***

Entry 3:
Entry from Alexandria: a relaxed PmDySi2 crystal (PBE-GGA).

Geometry as extended XYZ:
```
4
Lattice="4.358 0.000 -0.029 0.000 3.879 0.000 -2.142 0.000 5.370" Properties=species:S:1:pos:R:3 pbc="T T T"
Si -1.154 0.000 2.973
Pm 1.040 0.000 5.277
Si -1.142 1.939 4.567
Dy 1.021 1.939 2.276
```

Total magnetization, μB per formula unit: 0.0
Space group: Amm2, No. 38
Formation energy (no corrections), eV per formula unit: -3.2
Final energy, eV for the cell shown: -23.39

***

Entry 4:
Entry from Alexandria: a relaxed PmY2UN4 crystal (PBE-GGA).

Geometry as extended XYZ:
```
8
Lattice="4.949 0.002 0.000 -0.003 4.949 0.000 -2.473 -2.476 4.940" Properties=species:S:1:pos:R:3 pbc="T T T"
Pm 2.473 2.476 0.000
Y -0.001 2.474 2.470
N 2.474 0.001 4.711
Y 0.000 0.000 0.000
U 2.474 0.001 2.470
N 2.474 0.001 0.230
N 2.473 2.476 2.515
N 0.000 0.000 2.425
```

Total magnetization, μB per formula unit: 1.3
Space group: I-4m2, No. 119
Formation energy (no corrections), eV per formula unit: -12.3
Final energy, eV for the cell shown: -74.59

***

Entry 5:
Entry from Alexandria: a relaxed Ti3Pd3Pt2 crystal (PBE-GGA).

Geometry as extended XYZ:
```
8
Lattice="-2.547 3.598 -0.914 -3.910 -2.366 1.580 4.322 1.518 5.022" Properties=species:S:1:pos:R:3 pbc="T T T"
Ti -1.357 -0.387 2.258
Pd -3.229 0.616 0.333
Pd -1.191 2.207 0.919
Ti 0.000 0.000 0.000
Ti -0.778 3.137 3.430
Pd -0.944 0.543 4.769
Pt 0.820 1.227 2.546
Pt -2.955 1.523 3.142
```

Total magnetization, μB per formula unit: 0.9
Space group: C2/m, No. 12
Final energy, eV for the cell shown: -56.08
Relative energy among the computed polymorphs, kJ/mol of formula units: 100

***

Entry 6:
Entry from Alexandria: a relaxed Pm2Dy3Th2 crystal (PBE-GGA).

Geometry as extended XYZ:
```
7
Lattice="-2.131 -0.686 -2.815 -5.173 -9.461 -0.665 -7.143 -1.161 3.407" Properties=species:S:1:pos:R:3 pbc="T T T"
Pm -11.329 -9.527 -0.573
Dy -9.165 -5.383 1.371
Pm -3.118 -1.782 0.500
Dy -5.282 -5.925 -1.444
Dy 0.000 0.000 0.000
Th -6.193 -3.585 0.975
Th -8.254 -7.723 -1.048
```

Total magnetization, μB per formula unit: 0.0
Space group: P-1, No. 2
Final energy, eV for the cell shown: -37.92
Relative energy among the computed polymorphs, kJ/mol of formula units: 0

***

Entry 7:
Entry from Alexandria: a relaxed Cs4SrCd3F12 crystal (PBE-GGA).

Geometry as extended XYZ:
```
20
Lattice="-4.048 6.894 0.438 -5.028 -5.931 -1.913 3.393 -1.558 7.083" Properties=species:S:1:pos:R:3 pbc="T T T"
F -2.597 2.909 3.392
Cd -0.818 -3.744 2.585
Cd -4.538 0.482 -0.737
F -2.348 0.249 -0.381
F -3.087 -3.503 2.217
F -0.423 -1.937 1.338
Cs 1.696 -0.779 3.542
F -0.737 0.796 5.053
Sr 0.000 0.000 0.000
Cd -0.328 2.668 3.761
F -0.981 -2.410 4.466
Cs -2.514 -2.965 -0.956
F -4.702 1.816 1.143
F -0.170 1.380 1.946
Cs -2.842 -0.297 2.804
F -4.947 -1.390 0.555
F -1.212 -5.551 3.833
Cs -2.024 3.447 0.219
F -6.728 0.714 -1.093
F -0.486 3.956 5.576
```

Total magnetization, μB per formula unit: 0.0
Space group: Im-3m, No. 229
Formation energy (no corrections), eV per formula unit: -54.1
Final energy, eV for the cell shown: -84.44

***

Entry 8:
Entry from Alexandria: a relaxed Sc2NbBr crystal (PBE-GGA).

Geometry as extended XYZ:
```
4
Lattice="-0.635 -4.441 2.022 -2.557 -0.458 4.179 -4.442 -2.115 -0.053" Properties=species:S:1:pos:R:3 pbc="T T T"
Sc -5.726 -5.260 4.611
Br 0.000 0.000 0.000
Nb -3.817 -3.507 3.074
Sc -1.909 -1.753 1.537
```

Total magnetization, μB per formula unit: 0.0
Space group: Fm-3m, No. 225
Formation energy (no corrections), eV per formula unit: 1.2
Final energy, eV for the cell shown: -23.19
Relative energy among the computed polymorphs, kJ/mol of formula units: 168

***

Entry 9:
Entry from Alexandria: a relaxed LaZrCl crystal (PBE-GGA).

Geometry as extended XYZ:
```
3
Lattice="-3.067 3.050 -2.049 -4.694 -0.938 0.039 -2.942 2.622 2.716" Properties=species:S:1:pos:R:3 pbc="T T T"
Zr -5.352 2.367 0.353
La 0.000 0.000 0.000
Cl -8.027 3.550 0.530
```

Total magnetization, μB per formula unit: 0.0
Space group: F-43m, No. 216
Formation energy (no corrections), eV per formula unit: -0.4
Final energy, eV for the cell shown: -15.72
Relative energy among the computed polymorphs, kJ/mol of formula units: 225

***

Entry 10:
Entry from Alexandria: a relaxed BaLa2Cd crystal (PBE-GGA).

Geometry as extended XYZ:
```
4
Lattice="-1.158 4.384 3.737 -0.803 -1.140 5.708 4.045 1.661 3.925" Properties=species:S:1:pos:R:3 pbc="T T T"
La 0.521 1.226 3.342
La 0.000 0.000 0.000
Cd 1.563 3.679 10.027
Ba 1.042 2.452 6.685
```

Total magnetization, μB per formula unit: 1.9
Space group: F-43m, No. 216
Final energy, eV for the cell shown: -12.31
Relative energy among the computed polymorphs, kJ/mol of formula units: 78

***

Entry 11:
Entry from Alexandria: a relaxed InSbTe crystal (PBE-GGA).

Geometry as extended XYZ:
```
3
Lattice="6.277 0.125 -0.075 3.047 5.489 0.075 -3.906 -4.063 2.768" Properties=species:S:1:pos:R:3 pbc="T T T"
In 9.069 5.460 0.000
Te 6.020 3.625 0.000
Sb 3.560 2.143 0.000
```

Total magnetization, μB per formula unit: 0.0
Space group: Imm2, No. 44
Formation energy (no corrections), eV per formula unit: 0.3
Final energy, eV for the cell shown: -9.69
Relative energy among the computed polymorphs, kJ/mol of formula units: 59

***

Entry 12:
Entry from Alexandria: a relaxed Sm2ErTi crystal (PBE-GGA).

Geometry as extended XYZ:
```
4
Lattice="3.375 0.000 0.000 1.687 2.923 0.000 1.687 0.974 11.791" Properties=species:S:1:pos:R:3 pbc="T T T"
Sm 1.687 0.974 8.838
Sm 5.062 2.923 2.953
Er 3.375 1.948 5.896
Ti 0.000 0.000 0.000
```

Total magnetization, μB per formula unit: 1.5
Space group: R-3m, No. 166
Final energy, eV for the cell shown: -20.14
Relative energy among the computed polymorphs, kJ/mol of formula units: 97

***

Entry 13:
Entry from Alexandria: a relaxed RbSmGe2I8 crystal (PBE-GGA).

Geometry as extended XYZ:
```
12
Lattice="7.824 0.377 0.483 0.422 7.384 0.390 0.603 0.530 9.989" Properties=species:S:1:pos:R:3 pbc="T T T"
I 6.752 2.304 2.657
I 1.760 5.639 2.572
I 7.089 2.653 8.289
I 2.097 5.988 8.205
I 5.497 5.841 5.209
Rb 0.302 0.265 4.994
Ge 4.255 3.861 7.788
Sm 0.000 0.000 0.000
Ge 4.594 4.431 3.074
I 3.192 2.304 9.906
I 5.657 5.988 0.955
I 3.352 2.451 5.652
```

Total magnetization, μB per formula unit: 0.0
Space group: P-1, No. 2
Formation energy (no corrections), eV per formula unit: -9.7
Final energy, eV for the cell shown: -37.07

***

Entry 14:
Entry from Alexandria: a relaxed TbTm4In crystal (PBE-GGA).

Geometry as extended XYZ:
```
12
Lattice="5.320 0.000 0.000 0.000 10.944 0.000 -2.660 0.000 6.014" Properties=species:S:1:pos:R:3 pbc="T T T"
In 2.660 10.411 4.189
Tm 2.660 1.803 2.109
In 0.000 4.939 1.825
Tm 0.000 10.329 5.766
Tb 2.660 7.965 2.149
Tm 2.660 4.857 0.248
Tm 0.000 2.185 0.021
Tm 0.000 7.275 3.905
Tb 0.000 2.493 3.865
Tm 2.660 7.657 5.993
Tm 2.660 4.883 3.874
Tm 0.000 10.355 2.140
```

Total magnetization, μB per formula unit: 0.0
Space group: Cmc2_1, No. 36
Final energy, eV for the cell shown: -52.03
Relative energy among the computed polymorphs, kJ/mol of formula units: 13

***

Entry 15:
Entry from Alexandria: a relaxed TbErCu4 crystal (PBE-GGA).

Geometry as extended XYZ:
```
6
Lattice="0.662 -4.111 -0.987 4.603 -0.819 -2.780 3.114 -2.596 3.626" Properties=species:S:1:pos:R:3 pbc="T T T"
Cu 5.981 -5.351 -1.534
Er 0.637 -2.026 -0.414
Cu 2.250 -2.360 2.062
Cu 5.389 -6.057 1.011
Tb 3.871 -3.795 -0.153
Cu 3.151 -1.284 -1.818
```

Total magnetization, μB per formula unit: 0.0
Space group: Imm2, No. 44
Final energy, eV for the cell shown: -27.25
Relative energy among the computed polymorphs, kJ/mol of formula units: 0

***

Entry 16:
Entry from Alexandria: a relaxed CoNi2Os crystal (PBE-GGA).

Geometry as extended XYZ:
```
4
Lattice="-0.661 -4.400 0.138 2.734 -2.139 -2.787 0.671 3.070 3.153" Properties=species:S:1:pos:R:3 pbc="T T T"
Ni 1.036 -3.269 -1.325
Ni 0.000 0.000 0.000
Co 0.523 -2.300 0.983
Os 2.221 -1.169 -0.479
```

Total magnetization, μB per formula unit: 0.0
Space group: I4/mmm, No. 139
Final energy, eV for the cell shown: -29.33
Relative energy among the computed polymorphs, kJ/mol of formula units: 17

***

Entry 17:
Entry from Alexandria: a relaxed BeHg3Ru crystal (PBE-GGA).

Geometry as extended XYZ:
```
5
Lattice="5.270 0.000 0.000 0.000 5.270 0.000 0.000 0.000 5.270" Properties=species:S:1:pos:R:3 pbc="T T T"
Ru 0.000 0.000 0.000
Hg 0.000 0.000 2.635
Hg 2.635 0.000 0.000
Hg 0.000 2.635 0.000
Be 2.635 2.635 2.635
```

Total magnetization, μB per formula unit: 0.9
Space group: Pm-3m, No. 221
Final energy, eV for the cell shown: -8.36
Relative energy among the computed polymorphs, kJ/mol of formula units: 102

***

Entry 18:
Entry from Alexandria: a relaxed Li5Ac3I12 crystal (PBE-GGA).

Geometry as extended XYZ:
```
80
Lattice="-14.359 6.070 0.220 4.099 -4.177 14.451 10.054 10.629 -5.386" Properties=species:S:1:pos:R:3 pbc="T T T"
Li -2.874 2.796 11.435
I 0.851 -0.016 5.455
I 6.515 3.401 7.451
I 1.281 7.852 6.744
I 6.457 6.634 9.846
I 0.666 -0.597 9.399
Li -2.462 10.673 5.185
Li 2.049 -2.088 7.225
I -6.721 9.122 1.834
I 4.165 4.783 0.106
I -1.816 5.341 6.897
Ac 0.693 4.981 -0.158
I -9.682 5.343 7.769
Ac -0.309 2.323 7.768
I -3.042 0.966 9.457
I 5.769 8.747 1.568
Ac -0.899 7.541 9.443
Ac -4.179 6.736 1.731
Ac -7.975 4.315 4.911
Li 5.027 5.315 -2.693
I -2.973 9.528 0.025
Ac 9.332 5.076 8.632
Li 5.049 1.612 8.846
Li 7.076 3.226 4.532
I -9.414 4.138 1.738
Ac 8.027 9.015 -1.073
Li -3.103 2.561 3.022
I -4.371 7.740 9.178
I 5.379 5.667 4.369
I -5.536 3.621 2.522
Li 1.253 -0.809 12.026
I -0.759 4.268 10.628
Ac 0.103 10.199 1.517
Li 4.231 6.594 2.108
I 7.519 11.026 -3.877
Ac -8.233 3.507 10.357
I -7.725 1.496 13.161
Li -5.256 10.910 0.439
I -1.919 8.447 3.755
I -5.132 4.240 11.767
I -2.550 5.750 -1.187
Li -0.103 6.261 4.642
I 9.475 7.180 1.516
I 0.552 8.255 -1.343
I 2.766 2.994 9.260
Li -7.179 3.035 0.110
Ac 7.769 8.208 4.374
I 3.645 -1.966 12.510
Li -4.437 5.928 7.177
I 9.259 5.155 5.146
I 6.239 0.781 11.123
I -5.976 3.775 7.717
I 2.647 10.968 3.769
I -1.057 12.539 3.829
Li 2.256 1.850 4.100
Li -1.460 13.331 -2.741
I -0.872 13.119 -0.114
Ac -9.538 7.446 0.652
I 2.836 11.557 -0.173
Li 0.000 0.000 0.000
I 9.207 8.384 7.546
I -6.663 5.889 -0.561
I -1.773 10.480 7.789
I 1.566 2.042 1.496
I 5.329 8.901 6.763
I -2.854 1.554 5.515
Ac 3.973 5.787 7.554
Li 2.668 9.726 -2.151
I -6.445 11.741 -1.838
I -1.488 4.671 2.541
I 2.344 6.772 10.472
Li -2.152 8.350 -2.583
I 4.926 8.282 -2.482
I 1.610 7.181 2.388
I -5.586 6.856 4.916
I -9.466 7.368 4.139
Li -5.130 0.947 7.335
I 1.712 4.075 5.530
I -3.851 14.488 -3.225
Li 2.897 9.962 6.263
```

Total magnetization, μB per formula unit: 0.0
Space group: Ia-3d, No. 230
Formation energy (no corrections), eV per formula unit: -25.2
Final energy, eV for the cell shown: -262.71

***

Entry 19:
Entry from Alexandria: a relaxed La4Ho4Er3 crystal (PBE-GGA).

Geometry as extended XYZ:
```
11
Lattice="3.521 0.000 0.002 0.000 5.710 0.006 1.750 2.845 17.928" Properties=species:S:1:pos:R:3 pbc="T T T"
La 3.513 2.848 14.633
Ho 3.512 5.702 16.325
Ho 3.515 2.848 11.421
Er 1.750 2.845 17.927
Er 1.753 5.704 13.052
La 3.516 5.705 9.677
La 1.758 5.707 3.301
Ho 1.756 5.707 6.514
Er 3.518 2.851 4.884
La 1.755 2.850 8.258
Ho 1.759 2.853 1.611
```

Total magnetization, μB per formula unit: 0.0
Space group: P-1, No. 2
Final energy, eV for the cell shown: -50.94
Relative energy among the computed polymorphs, kJ/mol of formula units: 0

***

Entry 20:
Entry from Alexandria: a relaxed NdZn8Ag4 crystal (PBE-GGA).

Geometry as extended XYZ:
```
13
Lattice="5.418 0.000 0.000 2.709 6.503 0.000 2.709 0.000 6.503" Properties=species:S:1:pos:R:3 pbc="T T T"
Zn 2.709 4.193 2.310
Zn 5.418 5.128 1.375
Zn 5.418 2.310 2.310
Zn 2.709 1.375 1.375
Ag 1.355 3.251 0.000
Ag 1.355 0.000 3.251
Zn 2.709 2.310 4.193
Zn 5.418 1.375 5.128
Ag 4.064 3.251 0.000
Zn 8.127 5.128 5.128
Zn 5.418 4.193 4.193
Nd 0.000 0.000 0.000
Ag 4.064 0.000 3.251
```

Total magnetization, μB per formula unit: 0.0
Space group: I4/mmm, No. 139
Final energy, eV for the cell shown: -27.78

***

Entry 21:
Entry from Alexandria: a relaxed LaDyAs2 crystal (PBE-GGA).

Geometry as extended XYZ:
```
4
Lattice="4.251 0.013 0.015 2.113 3.688 0.015 2.098 1.220 6.937" Properties=species:S:1:pos:R:3 pbc="T T T"
As 6.347 3.690 5.318
As 2.115 1.230 1.649
La 4.231 2.460 3.483
Dy 0.000 0.000 0.000
```

Total magnetization, μB per formula unit: 0.0
Space group: R-3m, No. 166
Final energy, eV for the cell shown: -25.01
Relative energy among the computed polymorphs, kJ/mol of formula units: 0

***

Entry 22:
Entry from Alexandria: a relaxed CaCO3 crystal (PBE-GGA).

Geometry as extended XYZ:
```
10
Lattice="-4.161 -1.461 -1.070 0.123 -1.001 4.425 -5.253 4.322 3.733" Properties=species:S:1:pos:R:3 pbc="T T T"
Ca -2.626 2.161 1.867
O -6.940 2.426 6.968
O -3.614 -0.181 2.250
C -4.332 -0.258 1.328
Ca 0.000 0.000 0.000
C -4.959 2.117 5.759
O -2.351 -0.567 0.120
O -6.014 0.083 2.921
O -5.677 2.040 4.838
O -3.277 1.776 4.166
```

Total magnetization, μB per formula unit: 0.0
Space group: C2/c, No. 15
Formation energy (no corrections), eV per formula unit: -4.5
Final energy, eV for the cell shown: -61.12